Entry from OQMD via LeMat-Bulk: BeNb2W after structural relaxation (GGA-PBE).

Geometry as CIF:
```
data_BeNb2W
_chemical_formula_sum 'Be4 Nb8 W4'
_symmetry_space_group_name_H-M 'F -4 3 m'
_symmetry_Int_Tables_number 216
_symmetry_space_group_name_Hall 'F -4 2 3'
_cell_length_a 6.309
_cell_length_b 6.309
_cell_length_c 6.309
_cell_angle_alpha 90.00
_cell_angle_beta 90.00
_cell_angle_gamma 90.00
loop_
_atom_site_label
_atom_site_type_symbol
_atom_site_fract_x
_atom_site_fract_y
_atom_site_fract_z
Be1 Be 0.000 0.000 0.000
Nb1 Nb 0.000 0.000 0.500
Nb2 Nb 0.250 0.250 0.750
W1 W 0.250 0.250 0.250
```

=====

Entry from OQMD via LeMat-Bulk: Y2BeNb after structural relaxation (GGA-PBE).

Geometry as CIF:
```
data_Y2BeNb
_chemical_formula_sum 'Y8 Be4 Nb4'
_symmetry_space_group_name_H-M 'F -4 3 m'
_symmetry_Int_Tables_number 216
_symmetry_space_group_name_Hall 'F -4 2 3'
_cell_length_a 6.971
_cell_length_b 6.971
_cell_length_c 6.971
_cell_angle_alpha 90.00
_cell_angle_beta 90.00
_cell_angle_gamma 90.00
loop_
_atom_site_label
_atom_site_type_symbol
_atom_site_fract_x
_atom_site_fract_y
_atom_site_fract_z
Y1 Y 0.000 0.000 0.000
Y2 Y 0.250 0.250 0.250
Be1 Be 0.000 0.000 0.500
Nb1 Nb 0.250 0.250 0.750
```

=====

Entry from OQMD via LeMat-Bulk: YBeNb2 after structural relaxation (GGA-PBE).

Geometry as CIF:
```
data_YBeNb2
_chemical_formula_sum 'Y4 Be4 Nb8'
_symmetry_space_group_name_H-M 'F -4 3 m'
_symmetry_Int_Tables_number 216
_symmetry_space_group_name_Hall 'F -4 2 3'
_cell_length_a 6.676
_cell_length_b 6.676
_cell_length_c 6.676
_cell_angle_alpha 90.00
_cell_angle_beta 90.00
_cell_angle_gamma 90.00
loop_
_atom_site_label
_atom_site_type_symbol
_atom_site_fract_x
_atom_site_fract_y
_atom_site_fract_z
Y1 Y 0.000 0.000 0.000
Be1 Be 0.250 0.250 0.750
Nb1 Nb 0.000 0.000 0.500
Nb2 Nb 0.250 0.250 0.250
```

=====

Entry from OQMD via LeMat-Bulk: YBe2Nb after structural relaxation (GGA-PBE).

Geometry as CIF:
```
data_YBe2Nb
_chemical_formula_sum 'Y4 Be8 Nb4'
_symmetry_space_group_name_H-M 'F -4 3 m'
_symmetry_Int_Tables_number 216
_symmetry_space_group_name_Hall 'F -4 2 3'
_cell_length_a 6.490
_cell_length_b 6.490
_cell_length_c 6.490
_cell_angle_alpha 90.00
_cell_angle_beta 90.00
_cell_angle_gamma 90.00
loop_
_atom_site_label
_atom_site_type_symbol
_atom_site_fract_x
_atom_site_fract_y
_atom_site_fract_z
Y1 Y 0.000 0.000 0.000
Be1 Be 0.000 0.000 0.500
Be2 Be 0.250 0.250 0.250
Nb1 Nb 0.250 0.250 0.750
```

=====

Entry from OQMD via LeMat-Bulk: BeNbZn after structural relaxation (GGA-PBE).

Geometry as CIF:
```
data_BeNbZn
_chemical_formula_sum 'Be4 Nb4 Zn4'
_symmetry_space_group_name_H-M 'F -4 3 m'
_symmetry_Int_Tables_number 216
_symmetry_space_group_name_Hall 'F -4 2 3'
_cell_length_a 5.581
_cell_length_b 5.581
_cell_length_c 5.581
_cell_angle_alpha 90.00
_cell_angle_beta 90.00
_cell_angle_gamma 90.00
loop_
_atom_site_label
_atom_site_type_symbol
_atom_site_fract_x
_atom_site_fract_y
_atom_site_fract_z
Be1 Be 0.000 0.000 0.000
Nb1 Nb 0.250 0.250 0.750
Zn1 Zn 0.250 0.250 0.250
```

=====

Entry from OQMD via LeMat-Bulk: BeNbZn after structural relaxation (GGA-PBE).

Geometry as CIF:
```
data_BeNbZn
_chemical_formula_sum 'Be4 Nb4 Zn4'
_symmetry_space_group_name_H-M 'F -4 3 m'
_symmetry_Int_Tables_number 216
_symmetry_space_group_name_Hall 'F -4 2 3'
_cell_length_a 5.881
_cell_length_b 5.881
_cell_length_c 5.881
_cell_angle_alpha 90.00
_cell_angle_beta 90.00
_cell_angle_gamma 90.00
loop_
_atom_site_label
_atom_site_type_symbol
_atom_site_fract_x
_atom_site_fract_y
_atom_site_fract_z
Be1 Be 0.000 0.000 0.000
Nb1 Nb 0.250 0.250 0.250
Zn1 Zn 0.000 0.000 0.500
```

=====

Entry from OQMD via LeMat-Bulk: Be2NbZn after structural relaxation (GGA-PBE).

Geometry as CIF:
```
data_Be2NbZn
_chemical_formula_sum 'Be8 Nb4 Zn4'
_symmetry_space_group_name_H-M 'F -4 3 m'
_symmetry_Int_Tables_number 216
_symmetry_space_group_name_Hall 'F -4 2 3'
_cell_length_a 5.876
_cell_length_b 5.876
_cell_length_c 5.876
_cell_angle_alpha 90.00
_cell_angle_beta 90.00
_cell_angle_gamma 90.00
loop_
_atom_site_label
_atom_site_type_symbol
_atom_site_fract_x
_atom_site_fract_y
_atom_site_fract_z
Be1 Be 0.000 0.000 0.000
Be2 Be 0.250 0.250 0.250
Nb1 Nb 0.000 0.000 0.500
Zn1 Zn 0.250 0.250 0.750
```

=====

Entry from OQMD via LeMat-Bulk: Be2NbZn after structural relaxation (GGA-PBE).

Geometry as CIF:
```
data_Be2NbZn
_chemical_formula_sum 'Be8 Nb4 Zn4'
_symmetry_space_group_name_H-M 'F -4 3 m'
_symmetry_Int_Tables_number 216
_symmetry_space_group_name_Hall 'F -4 2 3'
_cell_length_a 5.874
_cell_length_b 5.874
_cell_length_c 5.874
_cell_angle_alpha 90.00
_cell_angle_beta 90.00
_cell_angle_gamma 90.00
loop_
_atom_site_label
_atom_site_type_symbol
_atom_site_fract_x
_atom_site_fract_y
_atom_site_fract_z
Be1 Be 0.000 0.000 0.000
Be2 Be 0.250 0.250 0.250
Nb1 Nb 0.250 0.250 0.750
Zn1 Zn 0.000 0.000 0.500
```

=====

We obtain E_tot values of -35.78; -24.56; -28.98; -20.88; -14.40; -12.55; -17.69; -17.69 eV/f.u. for the records listed above, in that order.